1.
Below is crystalline SrFeAuS2 at its relaxed geometry, with properties calculated at the PBE level.

Lattice parameters (Å, degrees): 4.430 4.430 6.256 90.00 90.00 90.00
Sites, in units of the cell vectors:
Sr  0.000  0.000  0.000
Fe  0.000  0.000  0.500
Au  0.500  0.500  0.000
S  0.000  0.500  0.500
S  0.500  0.000  0.500

Total moment: 3.04 μB per formula unit
Calculated total energy: -4.5147 eV per atom
Energy relative to the elements, uncorrected: -0.1794 eV per atom

2.
Below is crystalline FeTcAu2S at its relaxed geometry, with properties calculated at the PBE level.

Lattice parameters (Å, degrees): 4.826 4.826 4.307 90.00 90.00 90.00
Sites, in units of the cell vectors:
Fe  0.000  0.000  0.000
Tc  0.000  0.000  0.500
Au  0.000  0.500  0.000
Au  0.500  0.000  0.000
S  0.500  0.500  0.500

Total moment: 3.20 μB per formula unit
Calculated total energy: -4.6632 eV per atom
Energy relative to the elements, uncorrected: 1.2389 eV per atom

3.
Below is crystalline FeTeAu2S at its relaxed geometry, with properties calculated at the PBE level.

Lattice parameters (Å, degrees): 5.219 5.219 4.934 90.00 90.00 90.00
Sites, in units of the cell vectors:
Fe  0.000  0.000  0.000
Te  0.000  0.000  0.500
Au  0.000  0.500  0.500
Au  0.500  0.000  0.500
S  0.500  0.500  0.000

Total moment: 4.04 μB per formula unit
Calculated total energy: -3.4893 eV per atom
Energy relative to the elements, uncorrected: 0.9680 eV per atom

4.
Below is crystalline Fe2TeAuS at its relaxed geometry, with properties calculated at the PBE level.

Lattice parameters (Å, degrees): 4.898 4.898 5.184 90.00 90.00 90.00
Sites, in units of the cell vectors:
Fe  0.000  0.500  0.000
Fe  0.500  0.000  0.000
Te  0.000  0.000  0.000
Au  0.000  0.000  0.500
S  0.500  0.500  0.500

Total moment: 7.03 μB per formula unit
Calculated total energy: -4.3724 eV per atom
Energy relative to the elements, uncorrected: 1.1220 eV per atom

5.
Below is crystalline TiFe2AuS at its relaxed geometry, with properties calculated at the PBE level.

Lattice parameters (Å, degrees): 4.172 4.172 4.508 90.00 90.00 90.00
Sites, in units of the cell vectors:
Ti  0.000  0.000  0.000
Fe  0.000  0.500  0.500
Fe  0.500  0.000  0.500
Au  0.500  0.500  0.000
S  0.000  0.000  0.500

Total moment: 3.99 μB per formula unit
Calculated total energy: -6.4992 eV per atom
Energy relative to the elements, uncorrected: -0.0542 eV per atom

6.
Below is crystalline TlFeAuS at its relaxed geometry, with properties calculated at the PBE level.

Lattice parameters (Å, degrees): 3.790 3.790 11.657 90.00 90.00 90.00
Sites, in units of the cell vectors:
Tl  0.250  0.250  0.220
Tl  0.750  0.750  0.780
Fe  0.250  0.750  0.500
Fe  0.750  0.250  0.500
Au  0.250  0.750  0.000
Au  0.750  0.250  0.000
S  0.250  0.250  0.596
S  0.750  0.750  0.404

Total moment: 0.00 μB per formula unit
Calculated total energy: -4.7708 eV per atom
Energy relative to the elements, uncorrected: -0.2123 eV per atom

7.
Below is crystalline FeWAuS at its relaxed geometry, with properties calculated at the PBE level.

Lattice parameters (Å, degrees): 2.888 4.157 5.174 90.00 90.00 90.00
Sites, in units of the cell vectors:
Fe  0.000  0.000  0.000
W  0.000  0.500  0.656
Au  0.500  0.500  0.175
S  0.500  0.000  0.672

Total moment: 2.29 μB per formula unit
E above lowest polymorph: 115 meV/atom
Calculated total energy: -6.8820 eV per atom
Energy relative to the elements, uncorrected: 0.3231 eV per atom

8.
Below is crystalline FeWAuS at its relaxed geometry, with properties calculated at the PBE level.

Lattice parameters (Å, degrees): 4.556 4.556 5.129 100.84 100.84 37.44
Sites, in units of the cell vectors:
Fe  0.000  0.000  0.000
W  0.250  0.250  0.723
Au  0.758  0.758  0.245
S  0.526  0.526  0.677

Total moment: 2.26 μB per formula unit
E above lowest polymorph: 15 meV/atom
Calculated total energy: -6.9826 eV per atom
Energy relative to the elements, uncorrected: 0.2226 eV per atom

9.
Below is crystalline FeWAuS at its relaxed geometry, with properties calculated at the PBE level.

Lattice parameters (Å, degrees): 4.982 4.982 5.312 122.06 122.06 34.23
Sites, in units of the cell vectors:
Fe  0.000  0.000  0.000
W  0.676  0.676  0.864
Au  0.280  0.280  0.526
S  0.404  0.404  0.213

Total moment: 1.59 μB per formula unit
E above lowest polymorph: 107 meV/atom
Calculated total energy: -6.8905 eV per atom
Energy relative to the elements, uncorrected: 0.3147 eV per atom

10.
Below is crystalline FeWAuS at its relaxed geometry, with properties calculated at the PBE level.

Lattice parameters (Å, degrees): 4.497 4.497 6.339 122.55 122.55 38.90
Sites, in units of the cell vectors:
Fe  0.000  0.000  0.000
W  0.571  0.571  0.713
Au  0.827  0.827  0.260
S  0.286  0.286  0.706

Total moment: 2.41 μB per formula unit
E above lowest polymorph: 0 meV/atom
Calculated total energy: -6.9972 eV per atom
Energy relative to the elements, uncorrected: 0.2080 eV per atom

11.
Below is crystalline Y2FeAuS at its relaxed geometry, with properties calculated at the PBE level.

Lattice parameters (Å, degrees): 5.131 5.131 4.587 90.00 90.00 90.00
Sites, in units of the cell vectors:
Y  0.000  0.500  0.000
Y  0.500  0.000  0.000
Fe  0.000  0.000  0.000
Au  0.000  0.000  0.500
S  0.500  0.500  0.500

Total moment: 0.63 μB per formula unit
Calculated total energy: -5.9131 eV per atom
Energy relative to the elements, uncorrected: -0.1539 eV per atom

12.
Below is crystalline FeSbAu2 at its relaxed geometry, with properties calculated at the PBE level.

Lattice parameters (Å, degrees): 3.424 3.424 6.235 90.00 90.00 90.00
Sites, in units of the cell vectors:
Fe  0.000  0.000  0.000
Sb  0.500  0.500  0.217
Au  0.000  0.000  0.520
Au  0.500  0.500  0.765

Total moment: 2.36 μB per formula unit
Calculated total energy: -4.5804 eV per atom
Energy relative to the elements, uncorrected: 0.2045 eV per atom

13.
Below is crystalline FeSb2Au at its relaxed geometry, with properties calculated at the PBE level.

Lattice parameters (Å, degrees): 7.152 7.152 7.152 129.79 129.79 73.74
Sites, in units of the cell vectors:
Fe  0.000  0.000  0.000
Fe  0.750  0.250  0.500
Sb  0.080  0.625  0.955
Sb  0.375  0.330  0.455
Sb  0.670  0.125  0.045
Sb  0.875  0.920  0.545
Au  0.250  0.750  0.500
Au  0.500  0.500  0.000

Total moment: 0.00 μB per formula unit
Calculated total energy: -4.6392 eV per atom
Energy relative to the elements, uncorrected: 0.3570 eV per atom

14.
Below is crystalline FeSbAu2 at its relaxed geometry, with properties calculated at the PBE level.

Lattice parameters (Å, degrees): 3.277 5.046 4.576 90.00 90.46 90.00
Sites, in units of the cell vectors:
Fe  0.000  0.000  0.000
Sb  0.500  0.000  0.500
Au  0.243  0.500  0.758
Au  0.757  0.500  0.242

Total moment: 2.93 μB per formula unit
Calculated total energy: -4.5386 eV per atom
Energy relative to the elements, uncorrected: 0.2464 eV per atom

15.
Below is crystalline FeSbAu2 at its relaxed geometry, with properties calculated at the PBE level.

Lattice parameters (Å, degrees): 2.988 3.555 7.287 90.00 99.68 90.00
Sites, in units of the cell vectors:
Fe  0.000  0.000  0.000
Sb  0.662  0.500  0.241
Au  0.419  0.500  0.803
Au  0.822  0.000  0.564

Total moment: 2.83 μB per formula unit
Calculated total energy: -4.6033 eV per atom
Energy relative to the elements, uncorrected: 0.1816 eV per atom

16.
Below is crystalline FeSbAu2 at its relaxed geometry, with properties calculated at the PBE level.

Lattice parameters (Å, degrees): 5.284 5.284 5.284 134.64 134.64 66.09
Sites, in units of the cell vectors:
Fe  0.000  0.000  0.000
Sb  0.500  0.500  0.000
Au  0.250  0.750  0.500
Au  0.750  0.250  0.500

Total moment: 2.90 μB per formula unit
Calculated total energy: -4.5415 eV per atom
Energy relative to the elements, uncorrected: 0.2434 eV per atom

17.
Below is crystalline FeSbAu2 at its relaxed geometry, with properties calculated at the PBE level.

Lattice parameters (Å, degrees): 4.693 4.693 4.693 60.00 60.00 60.00
Sites, in units of the cell vectors:
Fe  0.000  0.000  0.000
Sb  0.750  0.750  0.750
Au  0.250  0.250  0.250
Au  0.500  0.500  0.500

Total moment: 2.44 μB per formula unit
Calculated total energy: -4.5148 eV per atom
Energy relative to the elements, uncorrected: 0.2702 eV per atom

18.
Below is crystalline FeSbAu2 at its relaxed geometry, with properties calculated at the PBE level.

Lattice parameters (Å, degrees): 3.099 3.099 7.757 90.00 90.00 90.00
Sites, in units of the cell vectors:
Fe  0.000  0.000  0.000
Sb  0.500  0.500  0.235
Au  0.000  0.000  0.543
Au  0.500  0.500  0.794

Total moment: 2.70 μB per formula unit
Calculated total energy: -4.5761 eV per atom
Energy relative to the elements, uncorrected: 0.2089 eV per atom

19.
Below is crystalline FeSb2Au at its relaxed geometry, with properties calculated at the PBE level.

Lattice parameters (Å, degrees): 8.102 8.102 8.102 24.74 24.74 24.74
Sites, in units of the cell vectors:
Fe  0.000  0.000  0.000
Sb  0.259  0.259  0.259
Sb  0.741  0.741  0.741
Au  0.500  0.500  0.500

Total moment: 1.75 μB per formula unit
Calculated total energy: -4.8482 eV per atom
Energy relative to the elements, uncorrected: 0.1480 eV per atom

20.
Below is crystalline FeSb2Au at its relaxed geometry, with properties calculated at the PBE level.

Lattice parameters (Å, degrees): 3.092 3.884 7.392 90.00 90.00 90.00
Sites, in units of the cell vectors:
Fe  0.000  0.000  0.000
Sb  0.000  0.000  0.612
Sb  0.500  0.500  0.203
Au  0.500  0.500  0.819

Total moment: 2.74 μB per formula unit
Calculated total energy: -4.7931 eV per atom
Energy relative to the elements, uncorrected: 0.2031 eV per atom